Record 1
Compound: Zr2CrPb
Source: Alexandria via LeMat-Bulk
Functional: meta-GGA SCAN
Structure: single point on PBEsol structure

Summary:
DOS(E_F) = 2.96 states/eV/cell
DFT formation energy = 69 meV per atom
Crystal system = orthorhombic
Magnetic moment = 0.00 μB/f.u.

abc: 5.349 5.349 5.349
angles: 140.66 125.92 68.90
Atoms (fractional coordinates):
Zr1 0.215 0.215 0.000
Zr2 0.785 0.785 0.000
Cr1 0.000 0.500 0.500
Pb1 0.500 0.000 0.500



Record 2
Compound: MnOs2Au
Source: Alexandria via LeMat-Bulk
Functional: meta-GGA SCAN
Structure: single point on PBEsol structure

Summary:
DOS(E_F) = 3.27 states/eV/cell
Offset from the most stable computed form = 0.170 eV per atom
DFT formation energy = 372 meV per atom
Crystal system = orthorhombic
Magnetic moment = 4.25 μB/f.u.

abc: 2.808 4.533 4.599
angles: 90.00 90.00 90.00
Atoms (fractional coordinates):
Mn1 0.000 0.000 0.000
Os1 0.000 0.500 0.500
Os2 0.500 0.000 0.500
Au1 0.500 0.500 0.000



Record 3
Compound: Na3UO4
Source: Alexandria via LeMat-Bulk
Functional: meta-GGA SCAN
Structure: single point on PBEsol structure

Summary:
Formation energy (no corrections) = -20.65 eV/f.u.
Crystal system = orthorhombic
Magnetic moment = 1.00 μB/f.u.

abc: 5.753 5.753 3.443
angles: 90.00 90.00 108.41
Atoms (fractional coordinates):
Na1 0.000 0.000 0.000
Na2 0.000 0.500 0.500
Na3 0.500 0.000 0.500
U1 0.500 0.500 0.000
O1 0.284 0.284 0.500
O2 0.284 0.716 0.000
O3 0.716 0.284 0.000
O4 0.716 0.716 0.500



Record 4
Compound: NaCaTaTiO6
Source: Alexandria via LeMat-Bulk
Functional: meta-GGA SCAN
Structure: single point on PBEsol structure

Summary:
DOS(E_F) = 0.00 states/eV/cell
Formation energy (no corrections) = -31.53 eV/f.u.
Crystal system = monoclinic
Magnetic moment = 0.00 μB/f.u.

abc: 5.396 5.495 9.387
angles: 90.00 124.99 90.00
Atoms (fractional coordinates):
Na1 0.000 0.227 0.000
Na2 0.000 0.773 0.500
Ca1 0.515 0.299 0.501
Ca2 0.515 0.701 0.001
Ta1 0.258 0.242 0.751
Ta2 0.258 0.758 0.251
Ti1 0.758 0.246 0.249
Ti2 0.758 0.754 0.749
O1 0.081 0.232 0.498
O2 0.081 0.768 0.998
O3 0.434 0.268 0.002
O4 0.434 0.732 0.502
O5 0.499 0.048 0.293
O6 0.499 0.952 0.793
O7 0.573 0.465 0.786
O8 0.573 0.535 0.286
O9 0.912 0.041 0.708
O10 0.912 0.959 0.208
O11 0.996 0.466 0.214
O12 0.996 0.534 0.714



Record 5
Compound: MnCu2Cl
Source: Alexandria via LeMat-Bulk
Functional: meta-GGA SCAN
Structure: single point on PBEsol structure

Summary:
DOS(E_F) = 1.04 states/eV/cell
Offset from the most stable computed form = 0.000 eV per atom
Formation energy (no corrections) = -0.73 eV/f.u.
Crystal system = monoclinic
Magnetic moment = 4.03 μB/f.u.

abc: 3.098 3.023 6.380
angles: 90.00 90.21 90.00
Atoms (fractional coordinates):
Mn1 0.000 0.000 0.000
Cu1 0.498 0.500 0.796
Cu2 0.997 0.000 0.603
Cl1 0.008 0.500 0.297



Record 6
Compound: In2ReW
Source: Alexandria via LeMat-Bulk
Functional: meta-GGA SCAN
Structure: single point on PBEsol structure

Summary:
DOS(E_F) = 2.82 states/eV/cell
Offset from the most stable computed form = 0.169 eV per atom
DFT formation energy = 726 meV per atom
Crystal system = trigonal
Magnetic moment = 0.00 μB/f.u.

abc: 9.482 9.482 9.482
angles: 17.81 17.81 17.81
Atoms (fractional coordinates):
In1 0.249 0.249 0.249
In2 0.751 0.751 0.751
Re1 0.500 0.500 0.500
W1 0.000 0.000 0.000



Record 7
Compound: Mg2ZrPb
Source: Alexandria via LeMat-Bulk
Functional: meta-GGA SCAN
Structure: single point on PBEsol structure

Summary:
DOS(E_F) = 1.77 states/eV/cell
DFT formation energy = -170 meV per atom
Crystal system = monoclinic
Magnetic moment = 0.01 μB/f.u.

abc: 5.326 3.181 5.667
angles: 90.00 110.12 90.00
Atoms (fractional coordinates):
Mg1 0.000 0.000 0.000
Mg2 0.500 0.500 0.000
Zr1 0.000 0.500 0.500
Pb1 0.500 0.000 0.500



Record 8
Compound: CsRb3Se
Source: Alexandria via LeMat-Bulk
Functional: meta-GGA SCAN
Structure: single point on PBEsol structure

Summary:
DOS(E_F) = 1.79 states/eV/cell
Formation energy (no corrections) = -3.02 eV/f.u.
Crystal system = cubic
Magnetic moment = 0.00 μB/f.u.

abc: 6.809 6.809 6.809
angles: 90.00 90.00 90.00
Atoms (fractional coordinates):
Cs1 0.000 0.000 0.000
Rb1 0.000 0.500 0.500
Rb2 0.500 0.000 0.500
Rb3 0.500 0.500 0.000
Se1 0.500 0.500 0.500



Record 9
Compound: CaTl2Au
Source: Alexandria via LeMat-Bulk
Functional: meta-GGA SCAN
Structure: single point on PBEsol structure

Summary:
DOS(E_F) = 1.52 states/eV/cell
DFT formation energy = -415 meV per atom
Crystal system = tetragonal
Magnetic moment = 0.00 μB/f.u.

abc: 3.773 3.773 6.915
angles: 90.00 90.00 90.00
Atoms (fractional coordinates):
Ca1 0.000 0.000 0.000
Tl1 0.000 0.000 0.546
Tl2 0.500 0.500 0.281
Au1 0.500 0.500 0.792



Record 10
Compound: ReAs3Ru
Source: Alexandria via LeMat-Bulk
Functional: meta-GGA SCAN
Structure: single point on PBEsol structure

Summary:
DOS(E_F) = 3.58 states/eV/cell
DFT formation energy = 1391 meV per atom
Crystal system = cubic
Magnetic moment = 2.15 μB/f.u.

abc: 4.643 4.643 4.643
angles: 90.00 90.00 90.00
Atoms (fractional coordinates):
Re1 0.000 0.000 0.000
As1 0.000 0.500 0.500
As2 0.500 0.000 0.500
As3 0.500 0.500 0.000
Ru1 0.500 0.500 0.500



Record 11
Compound: CaYSi
Source: Alexandria via LeMat-Bulk
Functional: meta-GGA SCAN
Structure: single point on PBEsol structure

Summary:
DOS(E_F) = 2.57 states/eV/cell
Formation energy (no corrections) = 1.33 eV/f.u.
Crystal system = cubic
Magnetic moment = 0.58 μB/f.u.

abc: 4.833 4.833 4.833
angles: 60.00 60.00 60.00
Atoms (fractional coordinates):
Ca1 0.000 0.000 0.000
Y1 0.250 0.250 0.250
Si1 0.750 0.750 0.750



Record 12
Compound: CdRe2As
Source: Alexandria via LeMat-Bulk
Functional: meta-GGA SCAN
Structure: single point on PBEsol structure

Summary:
DOS(E_F) = 2.60 states/eV/cell
Offset from the most stable computed form = 0.538 eV per atom
DFT formation energy = 725 meV per atom
Crystal system = orthorhombic
Magnetic moment = 0.00 μB/f.u.

abc: 2.864 2.864 8.808
angles: 90.00 90.00 117.33
Atoms (fractional coordinates):
Cd1 0.000 0.000 0.000
Re1 0.500 0.500 0.278
Re2 0.500 0.500 0.722
As1 0.000 0.000 0.500



Record 13
Compound: TlCrAg2S
Source: Alexandria via LeMat-Bulk
Functional: meta-GGA SCAN
Structure: single point on PBEsol structure

Summary:
DOS(E_F) = 1.80 states/eV/cell
Formation energy (no corrections) = 0.79 eV/f.u.
Crystal system = tetragonal
Magnetic moment = 3.66 μB/f.u.

abc: 4.826 4.826 4.429
angles: 90.00 90.00 90.00
Atoms (fractional coordinates):
Tl1 0.000 0.000 0.000
Cr1 0.500 0.500 0.000
Ag1 0.000 0.500 0.500
Ag2 0.500 0.000 0.500
S1 0.500 0.500 0.500